RbNaMg3 (PBE, optimized geometry); magnetization = 0.0 μB/f.u.; ΔE to the lowest computed polymorph = 396.5 meV/atom; E_form = 0.85 eV/atom
1.0
6.697 0.000 0.000
0.000 6.697 0.000
0.000 0.000 6.697
Rb Na Mg
1 1 3
direct
0.000 0.000 0.000 Rb
0.500 0.500 0.500 Na
0.000 0.000 0.500 Mg
0.000 0.500 0.000 Mg
0.500 0.000 0.000 Mg

=====

SiHg2Os (PBE, optimized geometry); formation energy (no corrections) = 0.225 eV per atom; magnetization = 0.0 μB/f.u.
1.0
3.100 0.000 0.000
0.000 3.017 0.000
-0.651 0.000 8.225
Si Hg Os
1 2 1
direct
0.000 0.000 0.000 Si
0.021 0.500 0.712 Hg
0.090 0.000 0.390 Hg
0.527 0.500 0.131 Os

=====

La2Tb6Er3 (PBE, optimized geometry); magnetization = 0.0 μB/f.u.; ΔE to the lowest computed polymorph = 93.8 meV/atom; E_form = 0.27 eV/atom
1.0
-2.377 2.377 16.844
2.377 -2.377 16.844
2.377 2.377 -16.844
La Tb Er
2 6 3
direct
0.046 0.046 0.000 La
0.954 0.954 0.000 La
0.124 0.624 0.500 Tb
0.197 0.197 0.000 Tb
0.376 0.876 0.500 Tb
0.624 0.124 0.500 Tb
0.803 0.803 0.000 Tb
0.876 0.376 0.500 Tb
0.299 0.299 0.000 Er
0.500 0.500 0.000 Er
0.701 0.701 0.000 Er

=====

Ac3LaTe4 (PBE, optimized geometry); formation energy (no corrections) = -1.517 eV per atom; magnetization = 0.0 μB/f.u.; ΔE to the lowest computed polymorph = 0.0 meV/atom
1.0
8.181 0.000 0.000
0.000 9.295 0.000
-2.665 0.000 7.707
Ac La Te
6 2 8
direct
0.000 0.125 0.250 Ac
0.000 0.374 0.750 Ac
0.000 0.626 0.250 Ac
0.000 0.875 0.750 Ac
0.500 0.374 0.250 Ac
0.500 0.626 0.750 Ac
0.500 0.124 0.750 La
0.500 0.876 0.250 La
0.253 0.372 0.503 Te
0.253 0.628 0.003 Te
0.256 0.122 0.000 Te
0.256 0.878 0.500 Te
0.744 0.122 0.500 Te
0.744 0.878 0.000 Te
0.747 0.372 0.997 Te
0.747 0.628 0.497 Te

=====

LiAlC (PBE, optimized geometry); magnetization = 0.0 μB/f.u.; E_form = 0.13 eV/atom
1.0
4.632 0.000 0.000
0.000 3.151 0.000
-1.089 0.000 5.274
Li Al C
2 2 2
direct
0.000 0.000 0.000 Li
0.413 0.500 0.308 Li
0.487 0.000 0.769 Al
0.946 0.000 0.479 Al
0.660 0.500 0.000 C
0.863 0.500 0.228 C